VASP calculation (PBE-GGA) on a relaxed structure of InRe4Os.

a b c (Å): 7.349 7.349 7.349
angles (deg): 90.00 90.00 90.00
Space group F-43m (No. 216)
Asymmetric unit:
In1 0.000 0.000 0.000 x4
Re1 0.126 0.126 0.374 x16
Os1 0.250 0.250 0.750 x4

Properties
For the total DFT energy (no corrections), the calculation gives -59.77 eV/f.u. As for the formation energy: 665 meV per atom. Its density of states at the Fermi level is 21.776 states/eV/cell. Its calculated volume is 397 Å³/cell.